1.
# PBE SrLaPb2, optimized geometry
# Total DFT energy (no corrections): -4.053 eV per atom
# DFT formation energy: -2.19 eV per formula unit
# DOS(E_F): 0.83 states/eV/atom
data_SrLaPb2
_cell_length_a 4.9660
_cell_length_b 4.5903
_cell_length_c 6.6335
_cell_angle_alpha 90.00
_cell_angle_beta 111.92
_cell_angle_gamma 90.00
_space_group_name_H-M_alt 'P 1 m 1'
_space_group_IT_number 6
_space_group_name_Hall 'P -2y'
loop_
_atom_site_label
_atom_site_type_symbol
_atom_site_fract_x
_atom_site_fract_y
_atom_site_fract_z
Sr1 Sr 0.0000 0.0000 0.0000
La1 La 0.7338 0.5000 0.4648
Pb1 Pb 0.2767 0.0000 0.5501
Pb2 Pb 0.4539 0.5000 0.9083

---

2.
# PBE SrLaPb, optimized geometry
# Total DFT energy (no corrections): -3.789 eV per atom
# DFT formation energy: -1.05 eV per formula unit
# DOS(E_F): 0.89 states/eV/atom
data_SrLaPb
_cell_length_a 7.8723
_cell_length_b 7.8723
_cell_length_c 7.8723
_cell_angle_alpha 90.00
_cell_angle_beta 90.00
_cell_angle_gamma 90.00
_space_group_name_H-M_alt 'F -4 3 m'
_space_group_IT_number 216
_space_group_name_Hall 'F -4 2 3'
loop_
_atom_site_label
_atom_site_type_symbol
_atom_site_fract_x
_atom_site_fract_y
_atom_site_fract_z
Sr1 Sr 0.0000 0.0000 0.0000
La1 La 0.0000 0.0000 0.5000
Pb1 Pb 0.2500 0.2500 0.7500

---

3.
# PBE SrLaPb, optimized geometry
# Total DFT energy (no corrections): -3.937 eV per atom
# DFT formation energy: -1.49 eV per formula unit
# DOS(E_F): 0.74 states/eV/atom
data_SrLaPb
_cell_length_a 4.9865
_cell_length_b 4.9865
_cell_length_c 18.2670
_cell_angle_alpha 90.00
_cell_angle_beta 90.00
_cell_angle_gamma 90.00
_space_group_name_H-M_alt 'I 4/m m m'
_space_group_IT_number 139
_space_group_name_Hall '-I 4 2'
loop_
_atom_site_label
_atom_site_type_symbol
_atom_site_fract_x
_atom_site_fract_y
_atom_site_fract_z
Sr1 Sr 0.0000 0.0000 0.1798
La1 La 0.0000 0.5000 0.0000
Pb1 Pb 0.0000 0.0000 0.3711

---

4.
# PBE SrLaPb2, optimized geometry
# Total DFT energy (no corrections): -4.040 eV per atom
# DFT formation energy: -2.13 eV per formula unit
# DOS(E_F): 0.88 states/eV/atom
data_SrLaPb2
_cell_length_a 4.5890
_cell_length_b 6.5940
_cell_length_c 9.2550
_cell_angle_alpha 90.00
_cell_angle_beta 90.00
_cell_angle_gamma 90.00
_space_group_name_H-M_alt 'P m c 21'
_space_group_IT_number 26
_space_group_name_Hall 'P 2c -2'
loop_
_atom_site_label
_atom_site_type_symbol
_atom_site_fract_x
_atom_site_fract_y
_atom_site_fract_z
Sr1 Sr 0.0000 0.1229 0.0000
La1 La 0.5000 0.3669 0.3743
Pb1 Pb 0.0000 0.4173 0.6492
Pb2 Pb 0.5000 0.1056 0.7234

---

5.
# PBE Sr2LaPb, optimized geometry
# Total DFT energy (no corrections): -3.124 eV per atom
# DFT formation energy: -0.50 eV per formula unit
# DOS(E_F): 0.87 states/eV/atom
data_Sr2LaPb
_cell_length_a 8.4410
_cell_length_b 8.4410
_cell_length_c 8.4410
_cell_angle_alpha 90.00
_cell_angle_beta 90.00
_cell_angle_gamma 90.00
_space_group_name_H-M_alt 'F -4 3 m'
_space_group_IT_number 216
_space_group_name_Hall 'F -4 2 3'
loop_
_atom_site_label
_atom_site_type_symbol
_atom_site_fract_x
_atom_site_fract_y
_atom_site_fract_z
Sr1 Sr 0.0000 0.0000 0.0000
Sr2 Sr 0.2500 0.2500 0.2500
La1 La 0.0000 0.0000 0.5000
Pb1 Pb 0.2500 0.2500 0.7500

---

6.
# PBE SrLaPb, optimized geometry
# Total DFT energy (no corrections): -3.695 eV per atom
# DFT formation energy: -0.77 eV per formula unit
# DOS(E_F): 1.46 states/eV/atom
data_SrLaPb
_cell_length_a 5.5024
_cell_length_b 5.5024
_cell_length_c 4.1578
_cell_angle_alpha 90.00
_cell_angle_beta 90.00
_cell_angle_gamma 120.00
_space_group_name_H-M_alt 'P 3 m 1'
_space_group_IT_number 156
_space_group_name_Hall 'P 3 -2"'
loop_
_atom_site_label
_atom_site_type_symbol
_atom_site_fract_x
_atom_site_fract_y
_atom_site_fract_z
Sr1 Sr 0.0000 0.0000 0.0000
La1 La 0.6667 0.3333 0.4377
Pb1 Pb 0.3333 0.6667 0.6841

---

7.
# PBE Sr2LaPb, optimized geometry
# Total DFT energy (no corrections): -3.217 eV per atom
# DFT formation energy: -0.87 eV per formula unit
# DOS(E_F): 0.99 states/eV/atom
data_Sr2LaPb
_cell_length_a 4.6536
_cell_length_b 5.7508
_cell_length_c 11.9938
_cell_angle_alpha 90.00
_cell_angle_beta 90.00
_cell_angle_gamma 90.00
_space_group_name_H-M_alt 'I m m 2'
_space_group_IT_number 44
_space_group_name_Hall 'I 2 -2'
loop_
_atom_site_label
_atom_site_type_symbol
_atom_site_fract_x
_atom_site_fract_y
_atom_site_fract_z
Sr1 Sr 0.0000 0.0000 0.0000
Sr2 Sr 0.0000 0.5000 0.2109
La1 La 0.0000 0.5000 0.7922
Pb1 Pb 0.0000 0.0000 0.4881

---

8.
# PBE SrLaPb2, optimized geometry
# Total DFT energy (no corrections): -3.901 eV per atom
# DFT formation energy: -1.58 eV per formula unit
# DOS(E_F): 0.77 states/eV/atom
data_SrLaPb2
_cell_length_a 9.7439
_cell_length_b 3.9416
_cell_length_c 7.7846
_cell_angle_alpha 90.00
_cell_angle_beta 100.98
_cell_angle_gamma 90.00
_space_group_name_H-M_alt 'C 1 2/m 1'
_space_group_IT_number 12
_space_group_name_Hall '-C 2y'
loop_
_atom_site_label
_atom_site_type_symbol
_atom_site_fract_x
_atom_site_fract_y
_atom_site_fract_z
Sr1 Sr 0.0000 0.0000 0.0000
La1 La 0.0000 0.5000 0.5000
Pb1 Pb 0.2480 0.0000 0.7335

---

9.
# PBE Sr2LaPb, optimized geometry
# Total DFT energy (no corrections): -3.007 eV per atom
# DFT formation energy: -0.03 eV per formula unit
# DOS(E_F): 0.66 states/eV/atom
data_Sr2LaPb
_cell_length_a 9.8153
_cell_length_b 9.8153
_cell_length_c 7.0195
_cell_angle_alpha 90.00
_cell_angle_beta 90.00
_cell_angle_gamma 90.00
_space_group_name_H-M_alt 'I -4 2 d'
_space_group_IT_number 122
_space_group_name_Hall 'I -4 2bw'
loop_
_atom_site_label
_atom_site_type_symbol
_atom_site_fract_x
_atom_site_fract_y
_atom_site_fract_z
Sr1 Sr 0.2029 0.7500 0.1250
La1 La 0.0000 0.0000 0.5000
Pb1 Pb 0.0000 0.0000 0.0000

---

10.
# PBE SrLa2Pb2, optimized geometry
# Total DFT energy (no corrections): -4.253 eV per atom
# DFT formation energy: -2.31 eV per formula unit
# DOS(E_F): 0.59 states/eV/atom
data_SrLa2Pb2
_cell_length_a 9.6121
_cell_length_b 9.6121
_cell_length_c 3.7516
_cell_angle_alpha 90.00
_cell_angle_beta 90.00
_cell_angle_gamma 90.00
_space_group_name_H-M_alt 'P 4/m b m'
_space_group_IT_number 127
_space_group_name_Hall '-P 4 2ab'
loop_
_atom_site_label
_atom_site_type_symbol
_atom_site_fract_x
_atom_site_fract_y
_atom_site_fract_z
Sr1 Sr 0.0000 0.0000 0.0000
La1 La 0.1228 0.3772 0.0000
Pb1 Pb 0.1756 0.6756 0.5000

---

11.
# PBE SrLa2ZnPb, optimized geometry
# Total DFT energy (no corrections): -2.491 eV per atom
# DFT formation energy: 4.06 eV per formula unit
# DOS(E_F): 1.52 states/eV/atom
data_SrLa2ZnPb
_cell_length_a 6.0156
_cell_length_b 6.0156
_cell_length_c 5.3105
_cell_angle_alpha 90.00
_cell_angle_beta 90.00
_cell_angle_gamma 90.00
_space_group_name_H-M_alt 'P 4/m m m'
_space_group_IT_number 123
_space_group_name_Hall '-P 4 2'
loop_
_atom_site_label
_atom_site_type_symbol
_atom_site_fract_x
_atom_site_fract_y
_atom_site_fract_z
Sr1 Sr 0.0000 0.0000 0.0000
La1 La 0.0000 0.5000 0.0000
Zn1 Zn 0.0000 0.0000 0.5000
Pb1 Pb 0.5000 0.5000 0.5000

---

12.
# PBE LaTaPb3, optimized geometry
# Total DFT energy (no corrections): -3.944 eV per atom
# DFT formation energy: 8.19 eV per formula unit
# DOS(E_F): 1.23 states/eV/atom
data_LaTaPb3
_cell_length_a 5.9412
_cell_length_b 5.9412
_cell_length_c 5.9412
_cell_angle_alpha 90.00
_cell_angle_beta 90.00
_cell_angle_gamma 90.00
_space_group_name_H-M_alt 'P m -3 m'
_space_group_IT_number 221
_space_group_name_Hall '-P 4 2 3'
loop_
_atom_site_label
_atom_site_type_symbol
_atom_site_fract_x
_atom_site_fract_y
_atom_site_fract_z
La1 La 0.0000 0.0000 0.0000
Ta1 Ta 0.5000 0.5000 0.5000
Pb1 Pb 0.0000 0.0000 0.5000

---

Values for mass density, g cm⁻³, ordered as above
7.59, 5.90, 6.34, 7.60, 5.76, 6.61, 5.39, 7.25, 5.12, 7.47, 5.51, 7.45